# 1
# Pu2InGe3Pd4

Crystalline Pu2InGe3Pd4 at its relaxed geometry (PBE, Alexandria via LeMat-Bulk).

Geometry as CIF:
```
data_Pu2InGe3Pd4
_symmetry_space_group_name_H-M 'P -4 m 2'
_symmetry_Int_Tables_number 115
_symmetry_space_group_name_Hall 'P -4 -2'
_cell_length_a 4.2010
_cell_length_b 4.2010
_cell_length_c 11.1610
_cell_angle_alpha 90.00
_cell_angle_beta 90.00
_cell_angle_gamma 90.00
loop_
_atom_site_label
_atom_site_type_symbol
_atom_site_fract_x
_atom_site_fract_y
_atom_site_fract_z
Pu1 Pu 0.0000 0.5000 0.2391
In1 In 0.0000 0.0000 0.5000
Ge1 Ge 0.0000 0.5000 0.8708
Ge2 Ge 0.5000 0.5000 0.5000
Pd1 Pd 0.0000 0.0000 0.0000
Pd2 Pd 0.0000 0.5000 0.6512
Pd3 Pd 0.5000 0.5000 0.0000
```

Properties
ΔH_f (0 K): -0.54 eV per atom
Theoretical density: 10.51 g/cm³
Magnetization: 11.0 μB/f.u.


# 2
# InReGePd2

Crystalline InReGePd2 at its relaxed geometry (PBE, Alexandria via LeMat-Bulk).

Geometry as CIF:
```
data_InReGePd2
_symmetry_space_group_name_H-M 'P 4/m m m'
_symmetry_Int_Tables_number 123
_symmetry_space_group_name_Hall '-P 4 2'
_cell_length_a 4.8359
_cell_length_b 4.8359
_cell_length_c 5.1832
_cell_angle_alpha 90.00
_cell_angle_beta 90.00
_cell_angle_gamma 90.00
loop_
_atom_site_label
_atom_site_type_symbol
_atom_site_fract_x
_atom_site_fract_y
_atom_site_fract_z
In1 In 0.0000 0.0000 0.0000
Re1 Re 0.0000 0.0000 0.5000
Ge1 Ge 0.5000 0.5000 0.0000
Pd1 Pd 0.0000 0.5000 0.5000
```

Properties
ΔH_f (0 K): 1.12 eV per atom
Theoretical density: 8.03 g/cm³
Magnetization: 0.0 μB/f.u.


# 3
# InGePdRh

Crystalline InGePdRh at its relaxed geometry (PBE, Alexandria via LeMat-Bulk).

Geometry as CIF:
```
data_InGePdRh
_symmetry_space_group_name_H-M 'F -4 3 m'
_symmetry_Int_Tables_number 216
_symmetry_space_group_name_Hall 'F -4 2 3'
_cell_length_a 6.4065
_cell_length_b 6.4065
_cell_length_c 6.4065
_cell_angle_alpha 90.00
_cell_angle_beta 90.00
_cell_angle_gamma 90.00
loop_
_atom_site_label
_atom_site_type_symbol
_atom_site_fract_x
_atom_site_fract_y
_atom_site_fract_z
In1 In 0.0000 0.0000 0.0000
Ge1 Ge 0.0000 0.0000 0.5000
Pd1 Pd 0.2500 0.2500 0.7500
Rh1 Rh 0.2500 0.2500 0.2500
```

Properties
ΔH_f (0 K): -0.30 eV per atom
Theoretical density: 10.02 g/cm³
Magnetization: 0.0 μB/f.u.


# 4
# InGePdRu2

Crystalline InGePdRu2 at its relaxed geometry (PBE, Alexandria via LeMat-Bulk).

Geometry as CIF:
```
data_InGePdRu2
_symmetry_space_group_name_H-M 'P 4/m m m'
_symmetry_Int_Tables_number 123
_symmetry_space_group_name_Hall '-P 4 2'
_cell_length_a 4.9482
_cell_length_b 4.9482
_cell_length_c 4.5294
_cell_angle_alpha 90.00
_cell_angle_beta 90.00
_cell_angle_gamma 90.00
loop_
_atom_site_label
_atom_site_type_symbol
_atom_site_fract_x
_atom_site_fract_y
_atom_site_fract_z
In1 In 0.0000 0.0000 0.0000
Ge1 Ge 0.5000 0.5000 0.0000
Pd1 Pd 0.5000 0.5000 0.5000
Ru1 Ru 0.0000 0.5000 0.5000
```

Properties
ΔH_f (0 K): 1.24 eV per atom
Theoretical density: 7.43 g/cm³
Magnetization: 4.2 μB/f.u.